MnW2Cl: relaxed, PBE.

abc: 8.629 8.629 8.629
angles: 18.92 18.92 18.92
Sites, in units of the cell vectors:
Mn (0.750, 0.750, 0.750)
W (0.002, 0.002, 0.002)
W (0.498, 0.498, 0.498)
Cl (0.250, 0.250, 0.250)

Values from the calculation:
electronic total energy: -8.6972 eV per atom
DOS(E_F): 4.1 states/eV/cell